NaCrMo3 | PBE | optimized geometry

Calculated values
Relative energy among the computed polymorphs = 1.545 eV per atom
Crystal system = cubic
D(E_F) = 1.783 states/eV per atom
E_form = 2.8820 eV/atom
SG = Pm-3m (221)

a = 4.4489 Å, b = 4.4489 Å, c = 4.4489 Å
α = 90.00°, β = 90.00°, γ = 90.00°
Element x y z (fractional)
Mo  0.0000  0.5000  0.0000
Mo  0.0000  0.0000  0.5000
Mo  0.5000  0.0000  0.0000
Na  0.0000  0.0000  0.0000
Cr  0.5000  0.5000  0.5000